First-principles (GGA-PBE) data for K2TlHg9 after structural relaxation, as listed in the Alexandria database.

Geometry as POSCAR:
```
K2TlHg9
1.0
-0.5187 6.5219 1.1994
-4.9327 -3.2151 -3.0942
-8.3371 -3.8415 17.2824
K Tl Hg
4 2 18
direct
0.3333 0.6667 0.5436 K
0.6667 0.3333 0.0436 K
0.6667 0.3333 0.4564 K
0.3333 0.6667 0.9564 K
0.3333 0.6667 0.7500 Tl
0.6667 0.3333 0.2500 Tl
0.0000 0.0000 0.0000 Hg
0.0000 0.0000 0.5000 Hg
0.0000 0.0000 0.2500 Hg
0.0000 0.0000 0.7500 Hg
0.3333 0.6667 0.2500 Hg
0.6667 0.3333 0.7500 Hg
0.1725 0.3450 0.1220 Hg
0.6550 0.8275 0.1220 Hg
0.1725 0.8275 0.1220 Hg
0.8275 0.6550 0.6220 Hg
0.3450 0.1725 0.6220 Hg
0.8275 0.1725 0.6220 Hg
0.3450 0.1725 0.8780 Hg
0.8275 0.6550 0.8780 Hg
0.8275 0.1725 0.8780 Hg
0.6550 0.8275 0.3780 Hg
0.1725 0.3450 0.3780 Hg
0.1725 0.8275 0.3780 Hg
```

Values from the calculation:
Total magnetization = 0.00 Bohr magnetons per cell
ΔH_f (0 K) = -1.31 eV/f.u.
SG = No. 194
E above lowest polymorph = 2 meV per atom


First-principles (GGA-PBE) data for ZrSbIN2 after structural relaxation, as listed in the Alexandria database.

Geometry as POSCAR:
```
ZrSbIN2
1.0
4.1663 0.0000 0.0000
0.0000 4.1663 0.0000
0.0000 0.0000 5.8064
I Sb Zr N
1 1 1 2
direct
0.0000 0.0000 0.5000 I
0.0000 0.0000 0.0000 Sb
0.5000 0.5000 0.5000 Zr
0.0000 0.5000 0.0000 N
0.5000 0.0000 0.0000 N
```

Values from the calculation:
Total magnetization = 0.00 Bohr magnetons per cell
SG = No. 123
E above lowest polymorph = 730 meV per atom
Uncorrected formation energy = 1.35 eV per atom


First-principles (GGA-PBE) data for SrSn6Pb after structural relaxation, as listed in the Alexandria database.

Geometry as POSCAR:
```
SrSn6Pb
1.0
5.5713 0.0000 0.0000
0.0000 6.1580 -3.1964
0.0000 -0.1397 6.9368
Sr Sn Pb
1 6 1
direct
0.5000 0.3996 0.6004 Sr
0.0000 0.0407 0.3862 Sn
0.0000 0.6138 0.9593 Sn
0.0000 0.5894 0.4106 Sn
0.5000 0.4281 0.1112 Sn
0.5000 0.8888 0.5719 Sn
0.5000 0.9307 0.0693 Sn
0.0000 0.1086 0.8914 Pb
```

Values from the calculation:
Total magnetization = 0.00 Bohr magnetons per cell
ΔH_f (0 K) = -1.17 eV/f.u.
SG = No. 38


First-principles (GGA-PBE) data for CuSn2HgH after structural relaxation, as listed in the Alexandria database.

Geometry as POSCAR:
```
CuSn2HgH
1.0
5.5230 0.0000 0.0000
0.0000 5.5230 0.0000
0.0000 0.0000 3.2499
H Hg Cu Sn
1 1 1 2
direct
0.0000 0.0000 0.5000 H
0.5000 0.5000 0.5000 Hg
0.0000 0.0000 0.0000 Cu
0.0000 0.5000 0.0000 Sn
0.5000 0.0000 0.0000 Sn
```

Values from the calculation:
Total magnetization = 0.00 Bohr magnetons per cell
SG = No. 123
Calculated total energy = -2.973 eV/atom